[1]
SrMgSb2 after structural relaxation. Source: Alexandria via LeMat-Bulk, functional PBE-GGA.

POSCAR file:
```
SrMgSb2
1.0
4.359 0.000 0.000
0.000 4.359 0.000
0.000 0.000 6.560
Sr Mg Sb
1 1 2
direct
0.000 0.000 0.000
0.500 0.500 0.380
0.000 0.000 0.494
0.500 0.500 0.837
```

Properties
* total DFT energy (no corrections): -3.1909 eV per atom
* magnetization: 0.00 Bohr magnetons per cell
* SG: P4mm, No. 99
* uncorrected formation energy: -310.6 meV/atom

---

[2]
Zr4NbZn2 after structural relaxation. Source: Alexandria via LeMat-Bulk, functional PBE-GGA.

POSCAR file:
```
Zr4NbZn2
1.0
3.740 -4.575 0.000
3.740 4.575 0.000
0.000 0.000 4.273
Zr Nb Zn
4 1 2
direct
0.000 0.500 0.500
0.214 0.214 0.000
0.500 0.000 0.500
0.786 0.786 0.000
0.500 0.500 0.500
0.279 0.721 0.000
0.721 0.279 0.000
```

Properties
* total DFT energy (no corrections): -6.6572 eV per atom
* magnetization: 0.00 Bohr magnetons per cell
* SG: Cmmm, No. 65
* formation enthalpy at 0 K: 0.030 eV/atom

---

[3]
In3Pd after structural relaxation. Source: Alexandria via LeMat-Bulk, functional PBE-GGA.

POSCAR file:
```
In3Pd
1.0
1.939 -5.104 0.000
1.939 5.104 0.000
0.000 0.000 9.008
In Pd
6 2
direct
0.062 0.938 0.750
0.361 0.639 0.545
0.361 0.639 0.955
0.639 0.361 0.045
0.639 0.361 0.455
0.938 0.062 0.250
0.225 0.775 0.250
0.775 0.225 0.750
```

Properties
* total DFT energy (no corrections): -3.6201 eV per atom
* magnetization: 0.00 Bohr magnetons per cell
* SG: Cmcm, No. 63
* formation enthalpy at 0 K: -0.268 eV/atom

---

[4]
Be5Ni4Pt after structural relaxation. Source: Alexandria via LeMat-Bulk, functional PBE-GGA.

POSCAR file:
```
Be5Ni4Pt
1.0
2.698 0.000 0.000
0.000 2.698 0.000
0.000 0.000 13.045
Be Ni Pt
5 4 1
direct
0.000 0.000 0.000
0.000 0.000 0.193
0.000 0.000 0.384
0.000 0.000 0.616
0.000 0.000 0.807
0.500 0.500 0.097
0.500 0.500 0.290
0.500 0.500 0.710
0.500 0.500 0.903
0.500 0.500 0.500
```

Properties
* total DFT energy (no corrections): -5.3007 eV per atom
* magnetization: 0.00 Bohr magnetons per cell
* SG: P4/mmm, No. 123
* formation enthalpy at 0 K: -0.521 eV/atom

---

[5]
CsTe2Pd2 after structural relaxation. Source: Alexandria via LeMat-Bulk, functional PBE-GGA.

POSCAR file:
```
CsTe2Pd2
1.0
-2.345 2.345 6.842
2.345 -2.345 6.842
2.345 2.345 -6.842
Cs Te Pd
1 2 2
direct
0.000 0.000 0.000
0.347 0.347 0.000
0.653 0.653 0.000
0.250 0.750 0.500
0.750 0.250 0.500
```

Properties
* total DFT energy (no corrections): -4.0273 eV per atom
* polymorph energy (0 for the lowest one): 19 meV/atom
* magnetization: 0.00 Bohr magnetons per cell
* SG: I4/mmm, No. 139
* uncorrected formation energy: -522.8 meV/atom

---

[6]
Na2YAuI after structural relaxation. Source: Alexandria via LeMat-Bulk, functional PBE-GGA.

POSCAR file:
```
Na2YAuI
1.0
5.333 0.000 0.000
0.000 5.333 0.000
0.000 0.000 7.018
Na Y Au I
2 1 1 1
direct
0.000 0.500 0.000
0.500 0.000 0.000
0.000 0.000 0.500
0.500 0.500 0.500
0.500 0.500 0.000
```

Properties
* total DFT energy (no corrections): -2.5069 eV per atom
* magnetization: 0.85 Bohr magnetons per cell
* SG: P4/mmm, No. 123
* uncorrected formation energy: 279.0 meV/atom